Record 1
Here is a relaxed structure of RbPmBeO3 from the Alexandria database. Energies are from GGA-PBE.

Results
Symmetry: P2_1/m (11)
Formation energy (no corrections), eV/atom: -2.56

a = 3.520 Å, b = 8.036 Å, c = 7.700 Å
α = 107.47°, β = 90.00°, γ = 90.00°
Positions (direct):
O 0.750 0.130 0.529
Pm 0.250 0.658 0.171
Rb 0.750 0.811 0.780
O 0.250 0.541 0.855
Pm 0.750 0.342 0.829
O 0.250 0.870 0.471
O 0.750 0.862 0.186
Be 0.250 0.060 0.605
O 0.250 0.138 0.814
Be 0.750 0.940 0.395
O 0.750 0.459 0.145
Rb 0.250 0.189 0.220

***

Record 2
Here is a relaxed structure of Rb2PmBeO4 from the Alexandria database. Energies are from GGA-PBE.

Results
Symmetry: Fddd (70)
Formation energy (no corrections), eV/atom: -1.77

a = 5.232 Å, b = 6.596 Å, c = 12.238 Å
α = 85.14°, β = 77.66°, γ = 66.64°
Positions (direct):
O 0.196 0.328 0.422
Rb 0.817 0.000 0.366
O 0.554 0.172 0.078
Be 0.250 0.500 0.500
O 0.945 0.672 0.578
O 0.805 0.828 0.922
O 0.368 0.828 0.078
Pm 0.750 0.500 0.500
Rb 0.933 0.500 0.134
Rb 0.183 0.000 0.634
Pm 0.000 0.000 0.000
Rb 0.567 0.500 0.866
Be 0.500 0.000 0.000
O 0.274 0.172 0.922
O 0.382 0.672 0.422
O 0.476 0.328 0.578

***

Record 3
Here is a relaxed structure of Rb2PmBe2O4 from the Alexandria database. Energies are from GGA-PBE.

Results
Symmetry: C2/m (12)
Formation energy (no corrections), eV/atom: -2.17

a = 3.494 Å, b = 9.912 Å, c = 6.449 Å
α = 101.87°, β = 105.72°, γ = 90.00°
Positions (direct):
Be 0.686 0.975 0.372
O 0.199 0.065 0.397
Be 0.314 0.025 0.628
O 0.801 0.935 0.603
Rb 0.158 0.692 0.315
O 0.568 0.885 0.135
O 0.432 0.115 0.865
Rb 0.842 0.308 0.685
Pm 0.000 0.000 0.000

***

Record 4
Here is a relaxed structure of PmBeSb2O8 from the Alexandria database. Energies are from GGA-PBE.

Results
Symmetry: C2/m (12)
Formation energy (no corrections), eV/atom: -1.72

a = 4.907 Å, b = 4.907 Å, c = 6.333 Å
α = 92.40°, β = 87.61°, γ = 83.39°
Positions (direct):
O 0.214 0.785 0.213
O 0.329 0.328 0.500
Be 0.000 0.000 0.000
O 0.786 0.215 0.787
O 0.182 0.817 0.797
Sb 0.515 0.485 0.237
O 0.689 0.689 0.000
O 0.671 0.672 0.500
O 0.311 0.311 0.000
O 0.818 0.183 0.203
Sb 0.485 0.515 0.763
Pm 0.000 0.000 0.500

***

Record 5
Here is a relaxed structure of SrPmBeO4 from the Alexandria database. Energies are from GGA-PBE.

Results
Symmetry: P2_1/m (11)
Formation energy (no corrections), eV/atom: -2.70

a = 5.613 Å, b = 4.710 Å, c = 7.223 Å
α = 90.00°, β = 104.67°, γ = 90.00°
Positions (direct):
Pm 0.751 0.750 0.444
Be 0.238 0.750 0.302
O 0.015 0.993 0.258
O 0.985 0.493 0.742
O 0.574 0.250 0.835
Pm 0.249 0.250 0.556
Be 0.762 0.250 0.698
Sr 0.724 0.750 0.948
O 0.985 0.007 0.742
Sr 0.276 0.250 0.052
O 0.426 0.750 0.165
O 0.015 0.507 0.258
O 0.371 0.750 0.531
O 0.629 0.250 0.469

***

Record 6
Here is a relaxed structure of Sr2PmBe2O6 from the Alexandria database. Energies are from GGA-PBE.

Results
Symmetry: P-3 (147)
Formation energy (no corrections), eV/atom: -2.56

a = 5.668 Å, b = 5.668 Å, c = 6.112 Å
α = 90.00°, β = 90.00°, γ = 120.00°
Positions (direct):
Sr 0.667 0.333 0.645
O 0.284 0.907 0.772
O 0.623 0.716 0.772
Be 0.667 0.333 0.196
Be 0.333 0.667 0.804
O 0.093 0.377 0.772
Sr 0.333 0.667 0.355
O 0.907 0.623 0.228
O 0.377 0.284 0.228
Pm 0.000 0.000 0.000
O 0.716 0.093 0.228

***

Record 7
Here is a relaxed structure of PmBeTe2O8 from the Alexandria database. Energies are from GGA-PBE.

Results
Symmetry: Cmmm (65)
Formation energy (no corrections), eV/atom: -1.53

a = 4.863 Å, b = 4.863 Å, c = 6.523 Å
α = 90.00°, β = 90.00°, γ = 82.27°
Positions (direct):
O 0.316 0.316 0.000
O 0.668 0.668 0.500
O 0.332 0.332 0.500
Pm 0.000 0.000 0.500
Te 0.500 0.500 0.770
O 0.684 0.684 0.000
O 0.194 0.806 0.793
Te 0.500 0.500 0.230
O 0.194 0.806 0.207
O 0.806 0.194 0.793
O 0.806 0.194 0.207
Be 0.000 0.000 0.000

***

Record 8
Here is a relaxed structure of PmBe2TeO8 from the Alexandria database. Energies are from GGA-PBE.

Results
Symmetry: P-3m1 (164)
Formation energy (no corrections), eV/atom: -1.57

a = 5.214 Å, b = 5.214 Å, c = 6.565 Å
α = 90.00°, β = 90.00°, γ = 120.00°
Positions (direct):
Be 0.667 0.333 0.241
Te 0.000 0.000 0.000
O 0.678 0.839 0.809
O 0.839 0.678 0.191
O 0.322 0.161 0.191
O 0.161 0.839 0.809
O 0.161 0.322 0.809
O 0.333 0.667 0.507
O 0.667 0.333 0.493
O 0.839 0.161 0.191
Be 0.333 0.667 0.759
Pm 0.000 0.000 0.500

***

Calculated density (computed, Mg/m³): 4.6; 3.4; 3.1; 5.8; 5.5; 4.2; 5.8; 4.5